(1)
This record from the Alexandria database describes ScTl2Ru after structural relaxation. The functional is PBE.

Summary:
- space group = P2/m
- ΔE_f (eV/atom) = 0.183

Unit cell a=4.6816 b=3.2551 c=5.7104 alpha=75.98 beta=90.00 gamma=90.00
With the nearest neighbours (Å) after each atom.
Fractional positions:
Sc: 0.5000 0.7500 0.7500  2 Ru 2.92, 4 Tl 3.13, 2 Sc 3.26
Ru: 0.5000 0.2500 0.2500  4 Tl 2.81, 2 Sc 2.92
Tl: 0.0000 0.0895 0.0149  2 Ru 2.81, 3 Tl 2.95-3.11, 2 Sc 3.13
Tl: 0.0000 0.4105 0.4851  2 Ru 2.81, 3 Tl 2.95-3.11, 2 Sc 3.13


(2)
This record from the Alexandria database describes Hg2Ru3 after structural relaxation. The functional is PBE.

Summary:
- space group = P-3m1
- ΔE_f (eV/atom) = 1.194

Unit cell a=4.4563 b=4.4563 c=5.5795 alpha=90.00 beta=90.00 gamma=120.00
With the nearest neighbours (Å) after each atom.
Fractional positions:
Hg: 0.3333 0.6667 0.8264  8 Ru 2.68-2.90
Hg: 0.6667 0.3333 0.1736  8 Ru 2.68-2.90
Ru: 0.3333 0.6667 0.3456  5 Hg 2.68-2.90
Ru: 0.0000 0.0000 0.0000  6 Hg 2.75
Ru: 0.6667 0.3333 0.6544  5 Hg 2.68-2.90


(3)
This record from the Alexandria database describes CsSr2LiRh after structural relaxation. The functional is PBE.

Summary:
- space group = P4/mmm
- ΔE_f (eV/atom) = 0.070

Unit cell a=5.8985 b=5.8985 c=5.7563 alpha=90.00 beta=90.00 gamma=90.00
With the nearest neighbours (Å) after each atom.
Fractional positions:
Sr: 0.5000 0.0000 0.0000  2 Rh 2.95
Sr: 0.0000 0.5000 0.0000  2 Rh 2.95
Cs: 0.5000 0.5000 0.5000  8 Sr 4.12, 4 Li 4.17
Rh: 0.0000 0.0000 0.0000  2 Li 2.88, 4 Sr 2.95
Li: 0.0000 0.0000 0.5000  2 Rh 2.88


| no. | electronic total energy (eV/f.u.) | total moment (Bohr magnetons per cell) | calculated density (g/cm3) |
| --- | --- | --- | --- |
| 1 | -19.6 | 0.00 | 10.9 |
| 2 | -22.5 | 4.78 | 12.2 |
| 3 | -13.1 | 0.00 | 3.5 |